The following is a DFT calculation (GGA-PBEsol) of a relaxed structure of Li2InSb.

Lattice parameters (Å, degrees): 3.076 4.146 6.331 90.00 90.00 90.00
Fractional positions:
Sb 0.500 0.500 0.000
In 0.500 0.500 0.500
Li 0.000 0.000 0.757
Li 0.000 0.000 0.243

Calculated values
Its density of states at the Fermi level is 1.3 states/eV per cell. For the formation energy without anion corrections, the calculation gives -0.383 eV/atom. The volume is 80.7 Å³/f.u.